DFT (PBE) results for a relaxed CeThHgGe crystal.

Output
The calculation puts the formation energy at -1.50 eV per formula unit. The value obtained for the density of states at the Fermi level is 8.54 states/eV/cell. As for the space group: F-43m (216).

```
4
Lattice="0.000 3.745 3.745 3.745 0.000 3.745 3.745 3.745 0.000" Properties=species:S:1:pos:R:3 pbc="T T T"
Ce 0.000 0.000 0.000
Th 3.745 3.745 3.745
Hg 1.873 1.873 1.873
Ge 5.618 5.618 5.618
```



DFT (PBE) results for a relaxed CeYHgGe crystal.

Output
The calculation puts the formation energy at -2.04 eV per formula unit. The value obtained for the density of states at the Fermi level is 8.87 states/eV/cell. As for the space group: F-43m (216).

```
4
Lattice="0.000 3.693 3.693 3.693 0.000 3.693 3.693 3.693 0.000" Properties=species:S:1:pos:R:3 pbc="T T T"
Ce 0.000 0.000 0.000
Y 3.693 3.693 3.693
Hg 1.847 1.847 1.847
Ge 5.540 5.540 5.540
```



> What is the formula in the second record?

CeYHgGe